A PBEsol-optimized structure of Al2HAu2. Source: the Alexandria database, functional meta-GGA SCAN.

## Properties
* distance to the lowest polymorph of the same formula: 0 meV per atom

Geometry as CIF:
```
data_Al2HAu2
_space_group_name_H-M_alt 'P 4/m b m'
_space_group_IT_number 127
_space_group_name_Hall '-P 4 2ab'
_cell_length_a 5.584
_cell_length_b 5.584
_cell_length_c 4.487
_cell_angle_alpha 90.00
_cell_angle_beta 90.00
_cell_angle_gamma 90.00
loop_
_atom_site_label
_atom_site_fract_x
_atom_site_fract_y
_atom_site_fract_z
Al1 0.173 0.327 0.000
H1 0.000 0.000 0.000
Au1 0.169 0.669 0.500
```

A PBEsol-optimized structure of NiSnP2S. Source: the Alexandria database, functional meta-GGA SCAN.

## Properties
* E_form (uncorrected): 44 kJ per mole of atoms

Geometry as CIF:
```
data_NiSnP2S
_space_group_name_H-M_alt 'P 4/m m m'
_space_group_IT_number 123
_space_group_name_Hall '-P 4 2'
_cell_length_a 4.296
_cell_length_b 4.296
_cell_length_c 4.858
_cell_angle_alpha 90.00
_cell_angle_beta 90.00
_cell_angle_gamma 90.00
loop_
_atom_site_label
_atom_site_fract_x
_atom_site_fract_y
_atom_site_fract_z
Ni1 0.000 0.000 0.000
Sn1 0.500 0.500 0.500
P1 0.000 0.500 0.000
S1 0.000 0.000 0.500
```

A PBEsol-optimized structure of Li2MgZn. Source: the Alexandria database, functional meta-GGA SCAN.

## Properties
* energy relative to the elements: -70 meV/atom

Geometry as CIF:
```
data_Li2MgZn
_space_group_name_H-M_alt 'C 1 2/m 1'
_space_group_IT_number 12
_cell_length_a 5.552
_cell_length_b 9.552
_cell_length_c 2.836
_cell_angle_alpha 90.00
_cell_angle_beta 114.07
_cell_angle_gamma 90.00
loop_
_space_group_symop_operation_xyz
'x,y,z'
'-x,-y,-z'
'-x,y,-z'
'x,-y,z'
'x+1/2,y+1/2,z'
'-x+1/2,-y+1/2,-z'
'-x+1/2,y+1/2,-z'
'x+1/2,-y+1/2,z'
loop_
_atom_site_label
_atom_site_fract_x
_atom_site_fract_y
_atom_site_fract_z
Li1 0.250 0.250 0.000
Mg1 0.000 0.000 0.500
Zn1 0.000 0.500 0.500
```

A PBEsol-optimized structure of Ca2CrSeBr. Source: the Alexandria database, functional meta-GGA SCAN.

## Properties
* E_form (uncorrected): -7 kJ per mole of atoms

Geometry as CIF:
```
data_Ca2CrSeBr
_space_group_name_H-M_alt 'P 4/m m m'
_space_group_IT_number 123
_space_group_name_Hall '-P 4 2'
_cell_length_a 5.424
_cell_length_b 5.424
_cell_length_c 5.478
_cell_angle_alpha 90.00
_cell_angle_beta 90.00
_cell_angle_gamma 90.00
loop_
_atom_site_label
_atom_site_fract_x
_atom_site_fract_y
_atom_site_fract_z
Ca1 0.000 0.500 0.000
Cr1 0.000 0.000 0.500
Se1 0.500 0.500 0.500
Br1 0.500 0.500 0.000
```

A PBEsol-optimized structure of Li2TcW. Source: the Alexandria database, functional meta-GGA SCAN.

## Properties
* distance to the lowest polymorph of the same formula: 93 meV per atom
* energy relative to the elements: 367 meV/atom

Geometry as CIF:
```
data_Li2TcW
_space_group_name_H-M_alt 'C 1 2/m 1'
_space_group_IT_number 12
_cell_length_a 5.096
_cell_length_b 9.578
_cell_length_c 2.549
_cell_angle_alpha 90.00
_cell_angle_beta 111.14
_cell_angle_gamma 90.00
loop_
_space_group_symop_operation_xyz
'x,y,z'
'-x,-y,-z'
'-x,y,-z'
'x,-y,z'
'x+1/2,y+1/2,z'
'-x+1/2,-y+1/2,-z'
'-x+1/2,y+1/2,-z'
'x+1/2,-y+1/2,z'
loop_
_atom_site_label
_atom_site_fract_x
_atom_site_fract_y
_atom_site_fract_z
Li1 0.250 0.250 0.000
Tc1 0.000 0.000 0.500
W1 0.000 0.500 0.500
```

A PBEsol-optimized structure of K2CoH4I4O14. Source: the Alexandria database, functional meta-GGA SCAN.

## Properties
* VASP energy: -0.8946 Ry per atom

Geometry as CIF:
```
data_K2CoH4I4O14
_space_group_name_H-M_alt 'C 1 2 1'
_space_group_IT_number 5
_cell_length_a 13.615
_cell_length_b 7.549
_cell_length_c 8.001
_cell_angle_alpha 90.00
_cell_angle_beta 125.78
_cell_angle_gamma 90.00
loop_
_space_group_symop_operation_xyz
'x,y,z'
'-x,y,-z'
'x+1/2,y+1/2,z'
'-x+1/2,y+1/2,-z'
loop_
_atom_site_label
_atom_site_fract_x
_atom_site_fract_y
_atom_site_fract_z
K1 0.000 0.000 0.000
K2 0.000 0.472 0.000
Co1 0.000 0.543 0.500
H1 0.051 0.209 0.632
H2 0.051 0.878 0.467
I1 0.223 0.725 0.962
I2 0.242 0.727 0.491
O1 0.000 0.281 0.500
O2 0.000 0.808 0.500
O3 0.123 0.562 0.419
O4 0.132 0.117 0.849
O5 0.140 0.522 0.814
O6 0.143 0.925 0.419
O7 0.160 0.734 0.111
O8 0.183 0.238 0.230
```

A PBEsol-optimized structure of Ti4CuAg. Source: the Alexandria database, functional meta-GGA SCAN.

## Properties
* energy relative to the elements: -113 meV/atom

Geometry as CIF:
```
data_Ti4CuAg
_space_group_name_H-M_alt 'P 4/m m m'
_space_group_IT_number 123
_space_group_name_Hall '-P 4 2'
_cell_length_a 2.897
_cell_length_b 2.897
_cell_length_c 11.219
_cell_angle_alpha 90.00
_cell_angle_beta 90.00
_cell_angle_gamma 90.00
loop_
_atom_site_label
_atom_site_fract_x
_atom_site_fract_y
_atom_site_fract_z
Ti1 0.000 0.000 0.153
Ti2 0.500 0.500 0.319
Cu1 0.500 0.500 0.000
Ag1 0.000 0.000 0.500
```

A PBEsol-optimized structure of MoPtSe2. Source: the Alexandria database, functional meta-GGA SCAN.

## Properties
* E_form (uncorrected): 52 kJ per mole of atoms
* distance to the lowest polymorph of the same formula: 0 meV per atom

Geometry as CIF:
```
data_MoPtSe2
_space_group_name_H-M_alt 'P m m m'
_space_group_IT_number 47
_cell_length_a 3.103
_cell_length_b 4.109
_cell_length_c 5.248
_cell_angle_alpha 90.00
_cell_angle_beta 90.00
_cell_angle_gamma 90.00
loop_
_space_group_symop_operation_xyz
'x,y,z'
'-x,-y,-z'
'-x,-y,z'
'x,y,-z'
'x,-y,-z'
'-x,y,z'
'-x,y,-z'
'x,-y,z'
loop_
_atom_site_label
_atom_site_fract_x
_atom_site_fract_y
_atom_site_fract_z
Mo1 0.000 0.000 0.000
Pt1 0.500 0.000 0.500
Se1 0.000 0.500 0.500
Se2 0.500 0.500 0.000
```

| no. | Fermi-level density of states (states/eV/f.u.) | volume (Å³ per atom) |
| --- | --- | --- |
| 1 | 1.4 | 13.99 |
| 2 | 3.4 | 17.93 |
| 3 | 1.5 | 17.16 |
| 4 | 1.6 | 32.23 |
| 5 | 2.4 | 14.51 |
| 6 | 10.1 | 13.34 |
| 7 | 3.2 | 15.69 |
| 8 | 3.3 | 16.73 |